Compound: ZrAs2Os
Source: Alexandria
Functional: PBE
Structure: optimized geometry

Geometry as POSCAR:
```
ZrAs2Os
1.0
-4.8539 0.2227 -0.2165
-3.8832 -2.8703 -0.5823
-1.5033 -0.9937 4.4133
Os Zr As
1 1 2
Direct
0.5101 0.5101 0.4244
0.7500 0.7500 0.7999
0.0024 0.0024 0.9743
0.2375 0.2375 0.3013
```

Summary:
Formation enthalpy at 0 K: -0.3018 eV per atom
Theoretical density: 10.47 g/cm3
Final energy: -7.571 eV/atom
Space group: No. 8
Offset from the most stable computed form: 84.8 meV per atom